Entry from Alexandria: a relaxed LaSm4Te5 crystal (GGA-PBE).

a = 16.1309 Å, b = 16.1309 Å, c = 16.1309 Å
α = 164.06°, β = 164.06°, γ = 22.62°
Positions (direct):
La 0.0000 0.0000 0.0000
Sm 0.2008 0.2008 0.0000
Sm 0.3997 0.3997 0.0000
Sm 0.6003 0.6003 0.0000
Sm 0.7992 0.7992 0.0000
Te 0.1018 0.1018 0.0000
Te 0.3001 0.3001 0.0000
Te 0.5000 0.5000 0.0000
Te 0.6999 0.6999 0.0000
Te 0.8982 0.8982 0.0000

DFT total energy, eV for the cell shown: -53.71
DOS at the Fermi energy, states/eV per atom: 0.586
ΔE to the lowest computed polymorph, meV/atom: 8
Formation energy from raw total energies, eV per atom: -1.420

=====

Entry from Alexandria: a relaxed LaSmTe2 crystal (GGA-PBE).

a = 4.3741 Å, b = 4.3741 Å, c = 23.7151 Å
α = 90.00°, β = 90.00°, γ = 120.00°
Positions (direct):
La 0.0000 0.0000 0.0000
La 0.3333 0.6667 0.6667
La 0.6667 0.3333 0.3333
Sm 0.0000 0.0000 0.1756
Sm 0.3333 0.6667 0.8423
Sm 0.6667 0.3333 0.5089
Te 0.0000 0.0000 0.4232
Te 0.0000 0.0000 0.5859
Te 0.3333 0.6667 0.0899
Te 0.3333 0.6667 0.2525
Te 0.6667 0.3333 0.7566
Te 0.6667 0.3333 0.9192

DFT total energy, eV for the cell shown: -65.43
DOS at the Fermi energy, states/eV per atom: 0.382
ΔE to the lowest computed polymorph, meV/atom: 24
Formation energy from raw total energies, eV per atom: -1.470

=====

Entry from Alexandria: a relaxed LaSmTe2 crystal (GGA-PBE).

a = 7.7756 Å, b = 7.7756 Å, c = 7.7756 Å
α = 90.00°, β = 90.00°, γ = 90.00°
Positions (direct):
La 0.0000 0.0000 0.0000
La 0.0000 0.5000 0.5000
La 0.5000 0.0000 0.5000
La 0.5000 0.5000 0.0000
Sm 0.0000 0.0000 0.5000
Sm 0.0000 0.5000 0.0000
Sm 0.5000 0.0000 0.0000
Sm 0.5000 0.5000 0.5000
Te 0.2500 0.2500 0.2500
Te 0.2500 0.2500 0.7500
Te 0.2500 0.7500 0.2500
Te 0.2500 0.7500 0.7500
Te 0.7500 0.2500 0.2500
Te 0.7500 0.2500 0.7500
Te 0.7500 0.7500 0.2500
Te 0.7500 0.7500 0.7500

DFT total energy, eV for the cell shown: -85.61
DOS at the Fermi energy, states/eV per atom: 0.918
ΔE to the lowest computed polymorph, meV/atom: 126
Formation energy from raw total energies, eV per atom: -1.368

=====

Entry from Alexandria: a relaxed LaSmTe3 crystal (GGA-PBE).

a = 4.4879 Å, b = 7.7168 Å, c = 9.9315 Å
α = 90.00°, β = 90.00°, γ = 90.00°
Positions (direct):
La 0.2500 0.2500 0.1526
La 0.7500 0.7500 0.8474
Sm 0.2500 0.7500 0.3998
Sm 0.7500 0.2500 0.6002
Te 0.2500 0.5215 0.6686
Te 0.2500 0.7500 0.0715
Te 0.2500 0.9785 0.6686
Te 0.7500 0.0215 0.3314
Te 0.7500 0.2500 0.9285
Te 0.7500 0.4785 0.3314

DFT total energy, eV for the cell shown: -52.83
DOS at the Fermi energy, states/eV per atom: 0.087
ΔE to the lowest computed polymorph, meV/atom: 56
Formation energy from raw total energies, eV per atom: -1.469

=====

Entry from Alexandria: a relaxed La2Sm3Te6 crystal (GGA-PBE).

a = 7.7220 Å, b = 7.7220 Å, c = 7.8225 Å
α = 99.56°, β = 99.56°, γ = 119.83°
Positions (direct):
La 0.1650 0.8350 0.0000
La 0.8350 0.1650 0.0000
Sm 0.0000 0.0000 0.5000
Sm 0.3311 0.6689 0.5000
Sm 0.6689 0.3311 0.5000
Te 0.0931 0.4167 0.7483
Te 0.2613 0.2613 0.2534
Te 0.4167 0.0931 0.7483
Te 0.5833 0.9069 0.2517
Te 0.7387 0.7387 0.7466
Te 0.9069 0.5833 0.2517

DFT total energy, eV for the cell shown: -59.56
DOS at the Fermi energy, states/eV per atom: 0.536
Formation energy from raw total energies, eV per atom: -1.518

=====

Entry from Alexandria: a relaxed LaSmTe crystal (GGA-PBE).

a = 14.1989 Å, b = 14.1989 Å, c = 14.1989 Å
α = 17.14°, β = 17.14°, γ = 17.14°
Positions (direct):
La 0.1285 0.1285 0.1285
La 0.8715 0.8715 0.8715
Sm 0.3681 0.3681 0.3681
Sm 0.6319 0.6319 0.6319
Te 0.2534 0.2534 0.2534
Te 0.7466 0.7466 0.7466

DFT total energy, eV for the cell shown: -30.45
DOS at the Fermi energy, states/eV per atom: 0.932
ΔE to the lowest computed polymorph, meV/atom: 18
Formation energy from raw total energies, eV per atom: -0.813

=====

Entry from Alexandria: a relaxed La3SmTh2Te6 crystal (GGA-PBE).

a = 7.8104 Å, b = 7.8104 Å, c = 7.8273 Å
α = 99.58°, β = 99.58°, γ = 119.70°
Positions (direct):
La 0.0000 0.0000 0.0000
La 0.3327 0.6673 0.0000
La 0.6673 0.3327 0.0000
Sm 0.5000 0.5000 0.5000
Th 0.1665 0.8335 0.5000
Th 0.8335 0.1665 0.5000
Te 0.0883 0.4190 0.2566
Te 0.2510 0.2510 0.7443
Te 0.4190 0.0883 0.2566
Te 0.5810 0.9117 0.7434
Te 0.7490 0.7490 0.2557
Te 0.9117 0.5810 0.7434

DFT total energy, eV for the cell shown: -69.50
DOS at the Fermi energy, states/eV per atom: 0.719
Formation energy from raw total energies, eV per atom: -1.359

=====

Entry from Alexandria: a relaxed La3Sm2ThTe6 crystal (GGA-PBE).

a = 10.0707 Å, b = 10.0707 Å, c = 9.0399 Å
α = 102.36°, β = 102.36°, γ = 25.90°
Positions (direct):
La 0.0000 0.0000 0.0000
La 0.3352 0.3352 0.6669
La 0.6648 0.6648 0.3331
Sm 0.3346 0.3346 0.1693
Sm 0.6654 0.6654 0.8307
Th 0.0000 0.0000 0.5000
Te 0.1667 0.1667 0.5892
Te 0.1696 0.1696 0.0779
Te 0.4975 0.4975 0.2512
Te 0.5025 0.5025 0.7488
Te 0.8304 0.8304 0.9221
Te 0.8333 0.8333 0.4108

DFT total energy, eV for the cell shown: -67.59
DOS at the Fermi energy, states/eV per atom: 0.728
Formation energy from raw total energies, eV per atom: -1.425

=====

Entry from Alexandria: a relaxed La2SmTh3Te6 crystal (GGA-PBE).

a = 10.1794 Å, b = 10.1794 Å, c = 9.0013 Å
α = 105.66°, β = 105.66°, γ = 25.54°
Positions (direct):
La 0.1657 0.1657 0.3322
La 0.8343 0.8343 0.6678
Sm 0.5000 0.5000 0.0000
Th 0.1688 0.1688 0.8343
Th 0.5000 0.5000 0.5000
Th 0.8312 0.8312 0.1657
Te 0.0024 0.0024 0.7548
Te 0.3336 0.3336 0.4151
Te 0.3359 0.3359 0.9208
Te 0.6641 0.6641 0.0792
Te 0.6664 0.6664 0.5849
Te 0.9976 0.9976 0.2452

DFT total energy, eV for the cell shown: -70.74
DOS at the Fermi energy, states/eV per atom: 0.905
Formation energy from raw total energies, eV per atom: -1.255

=====

Entry from Alexandria: a relaxed La4SmTm3Te8 crystal (GGA-PBE).

a = 9.0110 Å, b = 9.0110 Å, c = 9.0110 Å
α = 58.69°, β = 58.69°, γ = 58.69°
Positions (direct):
La 0.0000 0.0000 0.0000
La 0.0000 0.5000 0.5000
La 0.5000 0.0000 0.5000
La 0.5000 0.5000 0.0000
Sm 0.5000 0.5000 0.5000
Tm 0.0000 0.0000 0.5000
Tm 0.0000 0.5000 0.0000
Tm 0.5000 0.0000 0.0000
Te 0.2380 0.7470 0.7470
Te 0.2426 0.2426 0.2426
Te 0.2530 0.2530 0.7620
Te 0.2530 0.7620 0.2530
Te 0.7470 0.2380 0.7470
Te 0.7470 0.7470 0.2380
Te 0.7574 0.7574 0.7574
Te 0.7620 0.2530 0.2530

DFT total energy, eV for the cell shown: -85.59
DOS at the Fermi energy, states/eV per atom: 0.740
Formation energy from raw total energies, eV per atom: -1.413

=====

Entry from Alexandria: a relaxed LaSmTmTe3 crystal (GGA-PBE).

a = 8.6444 Å, b = 4.3765 Å, c = 10.7928 Å
α = 90.00°, β = 105.48°, γ = 90.00°
Positions (direct):
La 0.1917 0.2500 0.2174
La 0.8083 0.7500 0.7826
Sm 0.3365 0.7500 0.9094
Sm 0.6635 0.2500 0.0906
Tm 0.1541 0.2500 0.6225
Tm 0.8459 0.7500 0.3775
Te 0.0835 0.2500 0.8887
Te 0.2171 0.7500 0.4549
Te 0.4871 0.7500 0.2128
Te 0.5129 0.2500 0.7872
Te 0.7829 0.2500 0.5451
Te 0.9165 0.7500 0.1113

DFT total energy, eV for the cell shown: -62.44
DOS at the Fermi energy, states/eV per atom: 0.760
Formation energy from raw total energies, eV per atom: -1.279